# NpB4Ru, relaxed, DFT PBE
data_NpB4Ru
_cell_length_a 6.331
_cell_length_b 6.331
_cell_length_c 6.331
_cell_angle_alpha 90.00
_cell_angle_beta 90.00
_cell_angle_gamma 90.00
_symmetry_space_group_name_H-M 'F -4 3 m'
_symmetry_Int_Tables_number 216
_symmetry_space_group_name_Hall 'F -4 2 3'
loop_
_atom_site_label
_atom_site_type_symbol
_atom_site_fract_x
_atom_site_fract_y
_atom_site_fract_z
Np1 Np 0.000 0.000 0.000
B1 B 0.099 0.099 0.599
Ru1 Ru 0.250 0.250 0.250
# **VASP energy**: -7.507 eV/atom
# **Polymorph energy (0 for the lowest one)**: 1118.3 meV per atom
# **Energy of formation**: 3.885 eV per formula unit